Record 1
Below is a geometry-optimized SrIn6Hg2 structure, with properties calculated at the PBE level.

Cell and atoms, written as extended XYZ:
```
9
Lattice="-3.6608 -1.9192 1.9953 -0.5692 -2.7154 -3.6563 7.0956 -8.2854 5.0487" Properties=species:S:1:pos:R:3 pbc="T T T"
Sr 0.0000 0.0000 0.0000
In 1.7717 -3.7588 -0.3650
In 0.2259 -3.3607 2.4607
In 4.7547 -7.2421 1.7575
In 3.2089 -6.8440 4.5833
In 1.4328 -6.4601 1.6939
In 3.5478 -4.1427 2.5244
Hg -1.2610 -3.3145 -0.2229
Hg 4.1266 -9.6056 3.6106
```

Summary:
Uncorrected energy = -2.226 eV/atom
Density of states at the Fermi level = 4.56 states/eV/f.u.
Crystal system = tetragonal
Offset from the most stable computed form = 0 meV per atom
Formation energy = -0.15 eV per atom
Volume = 28.14 Å³/atom



Record 2
Below is a geometry-optimized MgSeO3 structure, with properties calculated at the PBE level.

Cell and atoms, written as extended XYZ:
```
20
Lattice="5.4572 0.0000 0.0519 0.0000 5.6940 0.0000 -0.0856 0.0000 9.2931" Properties=species:S:1:pos:R:3 pbc="T T T"
Mg 4.0717 2.8785 2.5811
Mg 4.0713 0.0315 2.1432
Mg 1.2999 2.8155 6.7638
Mg 1.3003 5.6625 7.2017
Se 1.3548 3.4852 0.8668
Se 1.3310 0.6382 3.8056
Se 4.0168 2.2088 8.4781
Se 4.0405 5.0558 5.5393
O -0.0395 4.3058 6.2160
O 2.6397 1.4588 7.7495
O 5.4111 1.3882 3.1289
O 2.7319 4.2352 1.5954
O 5.3644 1.4494 7.7049
O 2.6929 4.2964 6.3125
O 0.0072 4.2446 1.6401
O 2.6786 1.3976 3.0324
O 4.0140 4.3978 3.9463
O 4.1289 1.5508 0.7780
O 1.3575 1.2962 5.3986
O 1.2426 4.1432 8.5669
```

Summary:
Uncorrected energy = -5.608 eV/atom
Density of states at the Fermi level = 0.00 states/eV/f.u.
Crystal system = monoclinic
ΔE_f (raw) = -1.62 eV per atom
Volume = 14.44 Å³/atom



Record 3
Below is a geometry-optimized BaSr structure, with properties calculated at the PBE level.

Cell and atoms, written as extended XYZ:
```
12
Lattice="-4.6142 7.3650 -11.5987 8.4891 -11.6233 -1.7023 -3.3724 -2.4333 -0.2035" Properties=species:S:1:pos:R:3 pbc="T T T"
Ba -3.2035 3.6070 -11.3392
Ba 2.1821 -7.5357 -9.9483
Ba 1.6145 -3.1694 -10.1570
Ba 3.7060 -10.2986 -2.1653
Ba -1.6796 0.8442 -3.5561
Ba -1.1120 -3.5221 -3.3475
Sr -2.4505 2.2364 -7.4293
Sr 0.5217 -5.5103 -6.6508
Sr -0.7989 0.2267 -10.7694
Sr 2.9529 -8.9280 -6.0752
Sr -0.0193 -1.1813 -6.8536
Sr 1.3014 -6.9182 -2.7351
```

Summary:
Uncorrected energy = -1.644 eV/atom
Density of states at the Fermi level = 2.71 states/eV/f.u.
Crystal system = hexagonal
Offset from the most stable computed form = 159 meV per atom
Formation energy = 0.16 eV per atom
Volume = 63.12 Å³/atom



Record 4
Below is a geometry-optimized PmNd12Rh7 structure, with properties calculated at the PBE level.

Cell and atoms, written as extended XYZ:
```
20
Lattice="9.0322 -0.0775 -0.1164 -2.5860 8.6544 -0.1164 -2.5860 -3.4407 7.9419" Properties=species:S:1:pos:R:3 pbc="T T T"
Pm 0.0000 0.0000 0.0000
Nd 5.5502 -0.0813 6.0165
Nd 5.4816 1.6286 0.4928
Nd 2.7715 0.0146 2.9524
Nd 4.6169 3.4385 4.1115
Nd 0.0401 -1.7477 5.4669
Nd 2.0191 1.7179 6.5586
Nd 1.8411 3.4183 1.1506
Nd 3.8201 6.8839 2.2423
Nd -0.7567 1.6977 3.5977
Nd 1.0887 5.1216 4.7568
Nd -1.6214 3.5076 7.2164
Nd -1.6899 5.2175 1.6927
Rh 4.7599 2.4802 6.7878
Rh 2.8014 0.8987 0.2390
Rh 0.0843 -0.9122 2.8060
Rh 1.9301 2.5681 3.8546
Rh 3.7759 6.0484 4.9032
Rh 1.0588 4.2375 7.4702
Rh -0.8997 2.6560 0.9214
```

Summary:
Uncorrected energy = -6.135 eV/atom
Density of states at the Fermi level = 17.71 states/eV/f.u.
Crystal system = trigonal
Formation energy = -0.46 eV per atom
Volume = 30.60 Å³/atom